Entry 1:
Eu2CuO | PBE | optimized geometry

The structure belongs to space group R-3m (No. 166, hexagonal axes); the cell edges are 3.5611, 3.5611 and 25.7448 Å and the angles 90.00°, 90.00° and 120.00°. The inequivalent atoms are Eu at (0.0000, 0.0000, 0.1109), Cu at (0.0000, 0.0000, 0.0000) and O at (0.0000, 0.0000, 0.5000).

For the formation energy without anion corrections, the calculation gives -0.92 eV/atom.

---

Entry 2:
PrPbSe2 | PBE | optimized geometry

The structure belongs to space group R3m (No. 160, hexagonal axes); the cell edges are 4.1772, 4.1772 and 23.2037 Å and the angles 90.00°, 90.00° and 120.00°. The inequivalent atoms are Pr at (0.0000, 0.0000, 0.0000), Pb at (0.0000, 0.0000, 0.1656), Se at (0.0000, 0.0000, 0.5861) and Se at (0.0000, 0.0000, 0.7483).

For the formation energy without anion corrections, the calculation gives -1.11 eV/atom. The calculation puts the polymorph energy (0 for the lowest one) at 0 meV/atom.

---

Entry 3:
Cd2TcSO | PBE | optimized geometry

The structure belongs to space group P4/mmm (No. 123); the cell edges are 4.5278, 4.5278 and 4.3710 Å and the angles 90.00°, 90.00° and 90.00°. The inequivalent atoms are Cd at (0.0000, 0.5000, 0.0000), Tc at (0.0000, 0.0000, 0.5000), S at (0.5000, 0.5000, 0.5000) and O at (0.5000, 0.5000, 0.0000).

For the formation energy without anion corrections, the calculation gives 0.63 eV/atom.

---

Entry 4:
SrCu2PtPb | PBE | optimized geometry

The structure belongs to space group P4/mmm (No. 123); the cell edges are 4.9599, 4.9599 and 5.2747 Å and the angles 90.00°, 90.00° and 90.00°. The inequivalent atoms are Sr at (0.0000, 0.0000, 0.0000), Cu at (0.0000, 0.5000, 0.5000), Pt at (0.5000, 0.5000, 0.0000) and Pb at (0.5000, 0.5000, 0.5000).

As for the formation energy: 18.4 kJ/mol of atoms.

---

Entry 5:
Ca2CdAs4Rh3 | PBE | optimized geometry

The structure belongs to space group P-4m2 (No. 115); the cell edges are 4.3031, 4.3031 and 10.5421 Å and the angles 90.00°, 90.00° and 90.00°. The inequivalent atoms are Ca at (0.0000, 0.5000, 0.2400), Cd at (0.0000, 0.0000, 0.5000), As at (0.0000, 0.0000, 0.0000), As at (0.0000, 0.5000, 0.6526), As at (0.5000, 0.5000, 0.0000), Rh at (0.0000, 0.5000, 0.8828) and Rh at (0.5000, 0.5000, 0.5000).

As for the formation energy: -61.3 kJ/mol of atoms.

---

Entry 6:
CaCoW2 | PBE | optimized geometry

The structure belongs to space group Cmm2 (No. 35); the cell edges are 3.9554, 4.0350 and 8.5660 Å and the angles 90.00°, 90.00° and 90.00°. The inequivalent atoms are Ca at (0.0000, 0.0000, 0.0000), Co at (0.0000, 0.5000, 0.7391), W at (0.0000, 0.0000, 0.5671) and W at (0.0000, 0.5000, 0.3110).

As for the formation energy: 50.1 kJ/mol of atoms. The calculation puts the polymorph energy (0 for the lowest one) at 37 meV/atom.

---

Entry 7:
MgZrSe2 | PBE | optimized geometry

The structure belongs to space group R-3m (No. 166, hexagonal axes); the cell edges are 3.6669, 3.6669 and 21.2640 Å and the angles 90.00°, 90.00° and 120.00°. The inequivalent atoms are Mg at (0.0000, 0.0000, 0.0000), Zr at (0.0000, 0.0000, 0.5000) and Se at (0.0000, 0.0000, 0.2528).

For the formation energy without anion corrections, the calculation gives -1.13 eV/atom.

---

Entry 8:
LuMgCd4 | PBE | optimized geometry

The structure belongs to space group F-43m (No. 216); the cell edges are 8.2295, 8.2295 and 8.2295 Å and the angles 90.00°, 90.00° and 90.00°. The inequivalent atoms are Lu at (0.0000, 0.0000, 0.0000), Mg at (0.2500, 0.2500, 0.2500) and Cd at (0.1254, 0.1254, 0.6254).

As for the formation energy: -7.3 kJ/mol of atoms.

---

Entry 9:
AcPmNd2P4 | PBE | optimized geometry

The structure belongs to space group P2/m (No. 10); the cell edges are 7.3307, 4.2325 and 7.3313 Å and the angles 90.00°, 109.38° and 90.00°. The inequivalent atoms are Ac at (0.0000, 0.0000, 0.0000), Pm at (0.0000, 0.5000, 0.5000), Nd at (0.5000, 0.0000, 0.5000), Nd at (0.5000, 0.5000, 0.0000), P at (0.2532, 0.0000, 0.7442) and P at (0.2587, 0.5000, 0.2603).

As for the formation energy: -144.8 kJ/mol of atoms.

---

Entry 10:
NaPr3Pu2Te6 | PBE | optimized geometry

The structure belongs to space group C2/m (No. 12); the cell edges are 19.6736, 4.4883 and 9.0355 Å and the angles 90.00°, 103.48° and 90.00°. The inequivalent atoms are Na at (0.0000, 0.0000, 0.0000), Pr at (0.0000, 0.0000, 0.5000), Pr at (0.1658, 0.5000, 0.8310), Pu at (0.1667, 0.5000, 0.3330), Te at (0.0017, 0.5000, 0.2480), Te at (0.1658, 0.0000, 0.0866) and Te at (0.1682, 0.0000, 0.5776).

For the formation energy without anion corrections, the calculation gives -1.29 eV/atom.

---

Entry 11:
PuMg4In | PBE | optimized geometry

The structure belongs to space group F-43m (No. 216); the cell edges are 8.4348, 8.4348 and 8.4348 Å and the angles 90.00°, 90.00° and 90.00°. The inequivalent atoms are Pu at (0.0000, 0.0000, 0.0000), Mg at (0.1252, 0.1252, 0.3748) and In at (0.2500, 0.2500, 0.7500).

As for the formation energy: 10.8 kJ/mol of atoms.

---

Entry 12:
ZnTcO2 | PBE | optimized geometry

The structure belongs to space group R-3m (No. 166, hexagonal axes); the cell edges are 2.8753, 2.8753 and 18.7299 Å and the angles 90.00°, 90.00° and 120.00°. The inequivalent atoms are Zn at (0.0000, 0.0000, 0.0000), Tc at (0.0000, 0.0000, 0.5000) and O at (0.0000, 0.0000, 0.3984).

For the formation energy without anion corrections, the calculation gives -0.90 eV/atom.

---

| no. | density of states at the Fermi level (states/eV per cell) |
| --- | --- |
| 1 | 6.14 |
| 2 | 3.94 |
| 3 | 3.71 |
| 4 | 1.10 |
| 5 | 8.00 |
| 6 | 9.39 |
| 7 | 3.00 |
| 8 | 16.43 |
| 9 | 0.78 |
| 10 | 53.99 |
| 11 | 60.30 |
| 12 | 4.97 |